VASP calculation (GGA+U) on a relaxed VBiO4F crystal.

Unit cell a=5.9055 b=5.9055 c=6.9461 alpha=75.65 beta=75.65 gamma=74.92
Last column: nearest neighbours and their distance in Å.
Sites, in units of the cell vectors:
V: 0.6505 0.6505 0.7189  4 O 1.71-1.77
V: 0.3495 0.3495 0.2811  4 O 1.71-1.77
Bi: 0.2120 0.2120 0.8616  4 O 2.23-2.27, 2 F 2.28-2.29
Bi: 0.7880 0.7880 0.1384  4 O 2.23-2.27, 2 F 2.28-2.29
O: 0.2377 0.2377 0.5315  1 V 1.73
O: 0.7623 0.7623 0.4685  1 V 1.73
O: 0.1203 0.4974 0.1438  1 V 1.77
O: 0.5338 0.5338 0.2722  1 V 1.71
O: 0.5026 0.8797 0.8562  1 V 1.77
O: 0.4974 0.1203 0.1438  1 V 1.77
O: 0.4662 0.4662 0.7278  1 V 1.71
O: 0.8797 0.5026 0.8562  1 V 1.77
F: 0.0244 0.0244 0.1660  2 Bi 2.28-2.29, 1 F 2.49
F: 0.9756 0.9756 0.8340  2 Bi 2.28-2.29, 1 F 2.49

Output
Magnetic moment = 0.00 μB per formula unit
Mass density = 5.1 Mg/m³
E = -6.278 eV/atom